Density functional theory data (PBE) for ErGa5Tc2 after structural relaxation.

Geometry as POSCAR:
```
ErGa5Tc2
1.0
3.494 0.000 0.000
1.747 6.471 -0.239
1.747 1.719 6.243
Ga Tc Er
5 2 1
direct
0.648 0.139 0.565
0.648 0.565 0.139
0.000 0.500 0.500
0.352 0.861 0.435
0.352 0.435 0.861
0.757 0.743 0.743
0.243 0.257 0.257
0.000 0.000 0.000
```

Calculated values
symmetry: No. 71
energy of formation from the pure elements: -223 meV per atom